KCaHF2 (GGA-PBE, optimized geometry); energy = -22.38 eV per cell; space group = P4/mmm, No. 123; total moment = 0.0 μB per cell
1.0
4.4775 0.0000 0.0000
0.0000 4.4775 0.0000
0.0000 0.0000 4.4513
F K Ca H
2 1 1 1
direct
0.0000 0.5000 0.0000
0.5000 0.0000 0.0000
0.5000 0.5000 0.5000
0.0000 0.0000 0.0000
0.0000 0.0000 0.5000